(1)
## CsPaPtO6 (PBE)

Data for a relaxed structure of CsPaPtO6.

Geometry as POSCAR:
```
CsPaPtO6
1.0
-3.687 4.008 5.498
3.687 -4.008 5.498
3.687 4.008 -5.498
Cs Pa Pt O
2 2 2 12
Direct
0.371 0.121 0.250
0.629 0.879 0.750
0.000 0.500 0.500
0.500 0.500 0.000
0.000 0.000 0.500
0.000 0.500 0.000
0.054 0.426 0.223
0.054 0.831 0.628
0.064 0.814 0.250
0.297 0.169 0.723
0.297 0.574 0.128
0.327 0.577 0.750
0.673 0.423 0.250
0.703 0.426 0.872
0.703 0.831 0.277
0.936 0.186 0.750
0.946 0.169 0.372
0.946 0.574 0.777
```

Output
For the uncorrected formation energy, the calculation gives -1793 meV per atom.


(2)
## Pm5Pr5Ho2 (PBE)

Data for a relaxed structure of Pm5Pr5Ho2.

Geometry as POSCAR:
```
Pm5Pr5Ho2
1.0
7.763 -2.585 0.000
7.763 2.585 0.000
-5.164 0.000 10.344
Pm Pr Ho
5 5 2
Direct
0.000 0.000 0.000
0.081 0.081 0.749
0.167 0.167 0.500
0.833 0.833 0.500
0.919 0.919 0.251
0.248 0.248 0.250
0.335 0.335 0.001
0.500 0.500 0.500
0.665 0.665 0.999
0.752 0.752 0.750
0.416 0.416 0.748
0.584 0.584 0.252
```

Output
The value obtained for the energy of formation is 16.1 meV/atom.


(3)
## PuTcGe2 (PBE)

Data for a relaxed structure of PuTcGe2.

Geometry as POSCAR:
```
PuTcGe2
1.0
3.179 0.000 0.000
0.000 3.179 0.000
0.000 0.000 7.066
Pu Tc Ge
1 1 2
Direct
0.000 0.000 0.000
0.000 0.000 0.500
0.500 0.500 0.300
0.500 0.500 0.700
```

Output
As for the energy above the most stable polymorph in this dataset: 16.9 meV per atom. The value obtained for the energy of formation is -291.6 meV/atom.


(4)
## Tb4CoAg3 (PBE)

Data for a relaxed structure of Tb4CoAg3.

Geometry as POSCAR:
```
Tb4CoAg3
1.0
3.545 0.000 0.000
0.000 3.545 0.000
0.000 0.000 14.644
Tb Co Ag
4 1 3
Direct
0.000 0.000 0.111
0.000 0.000 0.371
0.000 0.000 0.629
0.000 0.000 0.889
0.500 0.500 0.000
0.500 0.500 0.243
0.500 0.500 0.500
0.500 0.500 0.757
```

Output
The value obtained for the energy of formation is -259.1 meV/atom.


(5)
## KW2N (PBE)

Data for a relaxed structure of KW2N.

Geometry as POSCAR:
```
KW2N
1.0
0.000 4.483 4.483
4.483 0.000 4.483
4.483 4.483 0.000
K W N
2 4 2
Direct
0.125 0.125 0.125
0.875 0.875 0.875
0.000 0.500 0.500
0.500 0.000 0.500
0.500 0.500 0.000
0.500 0.500 0.500
0.375 0.375 0.375
0.625 0.625 0.625
```

Output
For the uncorrected formation energy, the calculation gives 1016 meV per atom.


(6)
## BaAcAgP (PBE)

Data for a relaxed structure of BaAcAgP.

Geometry as POSCAR:
```
BaAcAgP
1.0
7.818 0.000 0.000
0.000 7.818 0.000
0.000 0.000 7.818
Ba Ac Ag P
4 4 4 4
Direct
0.000 0.000 0.000
0.000 0.500 0.500
0.500 0.000 0.500
0.500 0.500 0.000
0.000 0.000 0.500
0.000 0.500 0.000
0.500 0.000 0.000
0.500 0.500 0.500
0.250 0.250 0.250
0.250 0.750 0.750
0.750 0.250 0.750
0.750 0.750 0.250
0.250 0.250 0.750
0.250 0.750 0.250
0.750 0.250 0.250
0.750 0.750 0.750
```

Output
The value obtained for the energy of formation is -529.0 meV/atom.


(7)
## PtC3Br (PBE)

Data for a relaxed structure of PtC3Br.

Geometry as POSCAR:
```
PtC3Br
1.0
4.117 0.000 0.000
0.000 4.117 0.000
0.000 0.000 4.117
Pt C Br
1 3 1
Direct
0.000 0.000 0.000
0.000 0.000 0.500
0.000 0.500 0.000
0.500 0.000 0.000
0.500 0.500 0.500
```

Output
As for the energy above the most stable polymorph in this dataset: 0.0 meV per atom. For the uncorrected formation energy, the calculation gives 2524 meV per atom.


(8)
## La2Nd6DyTm (PBE)

Data for a relaxed structure of La2Nd6DyTm.

Geometry as POSCAR:
```
La2Nd6DyTm
1.0
4.602 -7.650 0.000
4.602 7.650 0.000
-1.776 0.000 9.934
La Nd Dy Tm
4 12 2 2
Direct
0.194 0.292 0.041
0.292 0.194 0.541
0.708 0.806 0.459
0.806 0.708 0.959
0.018 0.581 0.190
0.123 0.744 0.556
0.256 0.877 0.944
0.295 0.499 0.379
0.419 0.982 0.310
0.499 0.295 0.879
0.501 0.705 0.121
0.581 0.018 0.690
0.705 0.501 0.621
0.744 0.123 0.056
0.877 0.256 0.444
0.982 0.419 0.810
0.013 0.987 0.250
0.987 0.013 0.750
0.405 0.595 0.750
0.595 0.405 0.250
```

Output
The value obtained for the energy of formation is 112.3 meV/atom.


| no. | total DFT energy (no corrections) (eV for the cell shown) |
| --- | --- |
| 1 | -124.559 |
| 2 | -56.612 |
| 3 | -35.099 |
| 4 | -36.253 |
| 5 | -62.528 |
| 6 | -65.633 |
| 7 | -22.766 |
| 8 | -92.825 |